VASP calculation (GGA-PBE) on crystalline K2CaP2 at its relaxed geometry.

Lattice parameters (Å, degrees): 5.5515 5.5515 9.8424 90.00 90.00 90.00
Fractional coordinates of all 10 atoms:
K: 0.0000 0.0000 0.1412
K: 0.0000 0.0000 0.8588
K: 0.5000 0.5000 0.3588
K: 0.5000 0.5000 0.6412
Ca: 0.0000 0.0000 0.5000
Ca: 0.5000 0.5000 0.0000
P: 0.0000 0.5000 0.2500
P: 0.0000 0.5000 0.7500
P: 0.5000 0.0000 0.2500
P: 0.5000 0.0000 0.7500

* energy of formation: 0.181 eV/atom
* magnetic moment: 0.000 μB per formula unit
* calculated total energy: -2.8227 eV per atom


VASP calculation (GGA-PBE) on crystalline Sc2BeAlH at its relaxed geometry.

Lattice parameters (Å, degrees): 4.5675 4.5675 3.3932 90.00 90.00 90.00
Fractional coordinates of all 5 atoms:
Sc: 0.0000 0.5000 0.0000
Sc: 0.5000 0.0000 0.0000
Be: 0.0000 0.0000 0.5000
Al: 0.5000 0.5000 0.5000
H: 0.0000 0.0000 0.0000

* magnetic moment: 0.000 μB per formula unit
* calculated total energy: -4.9767 eV per atom


- calculated total energy of number 1 (K2CaP2)?
  -2.8227 eV per atom


- The lowest calculated total energy belongs to which entry?
  Sc2BeAlH